No. 1
The following is a DFT calculation (PBE) of a geometry-optimized Ag4SCl2 structure.

* offset from the most stable computed form: 26 meV per atom
* spin magnetization: 0.000 Bohr magnetons per cell
* energy relative to the elements, uncorrected: -0.2218 eV per atom

a = 4.9580 Å, b = 4.9580 Å, c = 7.7111 Å
α = 71.25°, β = 71.25°, γ = 90.00°
Element x y z (fractional)
S  0.0000  0.0000  0.0000
Ag  0.1767  0.1767  0.6466
Ag  0.8233  0.8233  0.3534
Ag  0.0000  0.5000  0.0000
Ag  0.5000  0.0000  0.0000
Cl  0.3517  0.3517  0.2967
Cl  0.6483  0.6483  0.7033

No. 2
The following is a DFT calculation (PBE) of a geometry-optimized AgS4Cl structure.

* spin magnetization: 0.000 Bohr magnetons per cell
* energy relative to the elements, uncorrected: 0.0078 eV per atom

a = 4.2370 Å, b = 5.1026 Å, c = 25.1502 Å
α = 58.02°, β = 93.84°, γ = 54.32°
Element x y z (fractional)
Ag  0.9168  0.2125  0.7893
Ag  0.0832  0.7875  0.2107
S  0.7339  0.8288  0.8707
S  0.8132  0.8300  0.9494
S  0.6952  0.9721  0.5569
S  0.3048  0.0279  0.4431
S  0.3065  0.4575  0.4431
S  0.1868  0.1700  0.0506
S  0.6935  0.5425  0.5569
S  0.2661  0.1712  0.1293
Cl  0.7404  0.9356  0.2836
Cl  0.2596  0.0644  0.7164

No. 3
The following is a DFT calculation (PBE) of a geometry-optimized AgSCl3 structure.

* offset from the most stable computed form: 563 meV per atom
* spin magnetization: 2.914 Bohr magnetons per cell
* energy relative to the elements, uncorrected: 0.3688 eV per atom

a = 5.0395 Å, b = 5.0395 Å, c = 5.0395 Å
α = 90.00°, β = 90.00°, γ = 90.00°
Element x y z (fractional)
S  0.5000  0.5000  0.5000
Ag  0.0000  0.0000  0.0000
Cl  0.0000  0.5000  0.0000
Cl  0.0000  0.0000  0.5000
Cl  0.5000  0.0000  0.0000